1.
A geometry-optimized SnAsHOs structure. Source: Alexandria via LeMat-Bulk, functional PBE.

**Theoretical density**: 9269 kg/m3
**Uncorrected energy**: -21.95 eV for the cell shown
**Volume**: 68.9 Å³ per cell
**Polymorph energy (0 for the lowest one)**: 185 meV/atom
**Total magnetic moment**: 0.000 Bohr magnetons per cell
**DOS(E_F)**: 1.45 states/eV per cell

abc: 3.891 3.069 6.017
angles: 90.00 106.35 90.00
Space group Pm (No. 6)
Unique sites:
Sn (0.000, 0.000, 0.000)
As (0.634, 0.000, 0.531)
H (0.278, 0.000, 0.596)
Os (0.583, 0.500, 0.203)

2.
A geometry-optimized SnAsHOs structure. Source: Alexandria via LeMat-Bulk, functional PBE.

**Theoretical density**: 8984 kg/m3
**Uncorrected energy**: -44.32 eV for the cell shown
**Volume**: 142.3 Å³ per cell
**Polymorph energy (0 for the lowest one)**: 131 meV/atom
**Total magnetic moment**: 0.000 Bohr magnetons per cell
**DOS(E_F)**: 4.26 states/eV per cell

abc: 7.932 3.192 6.011
angles: 90.00 110.81 90.00
Space group Cm (No. 8)
Unique sites:
Sn (0.000, 0.000, 0.000)
As (0.230, 0.000, 0.530)
H (0.295, 0.000, 0.121)
Os (0.480, 0.000, 0.370)

3.
A geometry-optimized Tl2AsHOs structure. Source: Alexandria via LeMat-Bulk, functional PBE.

**Theoretical density**: 11044 kg/m3
**Uncorrected energy**: -20.08 eV for the cell shown
**Volume**: 101.5 Å³ per cell
**Total magnetic moment**: 0.734 Bohr magnetons per cell
**DOS(E_F)**: 5.39 states/eV per cell

abc: 5.444 5.444 3.425
angles: 90.00 90.00 90.00
Space group P4/mmm (No. 123)
Unique sites:
Tl (0.000, 0.500, 0.000)
As (0.000, 0.000, 0.500)
H (0.500, 0.500, 0.500)
Os (0.500, 0.500, 0.000)

4.
A geometry-optimized YAs2HOs structure. Source: Alexandria via LeMat-Bulk, functional PBE.

**Theoretical density**: 5864 kg/m3
**Uncorrected energy**: -28.48 eV for the cell shown
**Volume**: 121.8 Å³ per cell
**Total magnetic moment**: 0.000 Bohr magnetons per cell
**DOS(E_F)**: 2.78 states/eV per cell

abc: 4.659 4.659 5.609
angles: 90.00 90.00 90.00
Space group P4/mmm (No. 123)
Unique sites:
Y (0.000, 0.000, 0.000)
As (0.000, 0.500, 0.500)
H (0.500, 0.500, 0.000)
Os (0.000, 0.000, 0.500)

What did the third record say?
A geometry-optimized Tl2AsHOs structure. Source: Alexandria via LeMat-Bulk, functional PBE.

**Theoretical density**: 11044 kg/m3
**Uncorrected energy**: -20.08 eV for the cell shown
**Volume**: 101.5 Å³ per cell
**Total magnetic moment**: 0.734 Bohr magnetons per cell
**DOS(E_F)**: 5.39 states/eV per cell

abc: 5.444 5.444 3.425
angles: 90.00 90.00 90.00
Space group P4/mmm (No. 123)
Unique sites:
Tl (0.000, 0.500, 0.000)
As (0.000, 0.000, 0.500)
H (0.500, 0.500, 0.500)
Os (0.500, 0.500, 0.000)